No. 1
VASP calculation (PBE-GGA) on Pr2Zn4HgPd3 after structural relaxation.

Lattice parameters (Å, degrees): 4.379 4.379 10.555 90.00 90.00 90.00
Space group P-4m2 (No. 115)
Asymmetric unit:
Pr (0.000, 0.500, 0.247) [2 per cell]
Zn (0.000, 0.000, 0.000) [1 per cell]
Zn (0.000, 0.500, 0.641) [2 per cell]
Zn (0.500, 0.500, 0.000) [1 per cell]
Hg (0.000, 0.000, 0.500) [1 per cell]
Pd (0.000, 0.500, 0.876) [2 per cell]
Pd (0.500, 0.500, 0.500) [1 per cell]

Computed properties:
- Calculated volume: 202.41 Å³/f.u.
- Crystal system: tetragonal
- Formation enthalpy at 0 K: -5.15 eV per formula unit
- N(E_F): 5.433 states/eV per cell

=====

No. 2
VASP calculation (PBE-GGA) on Ba2LiAuBr after structural relaxation.

Lattice parameters (Å, degrees): 6.314 6.314 4.618 90.00 90.00 90.00
Space group P4/mmm (No. 123)
Asymmetric unit:
Ba (0.000, 0.500, 0.000) [2 per cell]
Li (0.000, 0.000, 0.500) [1 per cell]
Au (0.500, 0.500, 0.500) [1 per cell]
Br (0.000, 0.000, 0.000) [1 per cell]

Computed properties:
- Calculated volume: 184.08 Å³/f.u.
- Crystal system: tetragonal
- Uncorrected formation energy: -615 meV per atom
- N(E_F): 4.552 states/eV per cell